No. 1
GeIrRh3 | PBE | optimized geometry

```
data_GeIrRh3
_chemical_formula_sum 'Ge1 Ir1 Rh3'
_symmetry_space_group_name_H-M 'P m -3 m'
_symmetry_Int_Tables_number 221
_symmetry_space_group_name_Hall '-P 4 2 3'
_cell_length_a 4.7279
_cell_length_b 4.7279
_cell_length_c 4.7279
_cell_angle_alpha 90.00
_cell_angle_beta 90.00
_cell_angle_gamma 90.00
loop_
_atom_site_label
_atom_site_type_symbol
_atom_site_fract_x
_atom_site_fract_y
_atom_site_fract_z
Ge1 Ge 0.0000 0.0000 0.0000
Ir1 Ir 0.5000 0.5000 0.5000
Rh1 Rh 0.0000 0.5000 0.5000
```

Properties
theoretical density	9.01	g/cm³
relative energy among the computed polymorphs	130	kJ/mol of formula units
DOS(E_F)	7.8	states/eV/f.u.
crystal system	cubic
total magnetization	0.000	μB per formula unit

***

No. 2
SmGe2IrRh2 | PBE | optimized geometry

```
data_SmGe2IrRh2
_chemical_formula_sum 'Sm1 Ge2 Ir1 Rh2'
_symmetry_space_group_name_H-M 'P 4/m m m'
_symmetry_Int_Tables_number 123
_symmetry_space_group_name_Hall '-P 4 2'
_cell_length_a 4.6517
_cell_length_b 4.6517
_cell_length_c 5.5690
_cell_angle_alpha 90.00
_cell_angle_beta 90.00
_cell_angle_gamma 90.00
loop_
_atom_site_label
_atom_site_type_symbol
_atom_site_fract_x
_atom_site_fract_y
_atom_site_fract_z
Sm1 Sm 0.0000 0.0000 0.0000
Ge1 Ge 0.0000 0.5000 0.5000
Ir1 Ir 0.0000 0.0000 0.5000
Rh1 Rh 0.5000 0.5000 0.2463
```

Properties
theoretical density	9.56	g/cm³
DOS(E_F)	5.7	states/eV/f.u.
crystal system	tetragonal
DFT total energy	-6.430	eV per atom
total magnetization	0.000	μB per formula unit

***

No. 3
SmGe2IrRh | PBE | optimized geometry

```
data_SmGe2IrRh
_chemical_formula_sum 'Sm2 Ge4 Ir2 Rh2'
_symmetry_space_group_name_H-M 'I -4 m 2'
_symmetry_Int_Tables_number 119
_symmetry_space_group_name_Hall 'I -4 -2'
_cell_length_a 4.1722
_cell_length_b 4.1722
_cell_length_c 10.4589
_cell_angle_alpha 90.00
_cell_angle_beta 90.00
_cell_angle_gamma 90.00
loop_
_atom_site_label
_atom_site_type_symbol
_atom_site_fract_x
_atom_site_fract_y
_atom_site_fract_z
Sm1 Sm 0.0000 0.0000 0.0000
Ge1 Ge 0.0000 0.0000 0.3774
Ir1 Ir 0.0000 0.5000 0.7500
Rh1 Rh 0.0000 0.5000 0.2500
```

Properties
theoretical density	10.78	g/cm³
DOS(E_F)	1.9	states/eV/f.u.
crystal system	tetragonal
DFT total energy	-6.872	eV per atom
total magnetization	0.000	μB per formula unit

***

No. 4
Sm2Ge3Ir4Rh | PBE | optimized geometry

```
data_Sm2Ge3Ir4Rh
_chemical_formula_sum 'Sm2 Ge3 Ir4 Rh1'
_symmetry_space_group_name_H-M 'P -4 m 2'
_symmetry_Int_Tables_number 115
_cell_length_a 4.2016
_cell_length_b 4.2016
_cell_length_c 10.4440
_cell_angle_alpha 90.00
_cell_angle_beta 90.00
_cell_angle_gamma 90.00
loop_
_symmetry_equiv_pos_as_xyz
'x,y,z'
'y,-x,-z'
'-x,-y,z'
'-y,x,-z'
'-x,y,z'
'-y,-x,-z'
'x,-y,z'
'y,x,-z'
loop_
_atom_site_label
_atom_site_type_symbol
_atom_site_fract_x
_atom_site_fract_y
_atom_site_fract_z
Sm1 Sm 0.0000 0.5000 0.2459
Ge1 Ge 0.0000 0.5000 0.8692
Ge2 Ge 0.5000 0.5000 0.5000
Ir1 Ir 0.0000 0.0000 0.0000
Ir2 Ir 0.0000 0.5000 0.6367
Ir3 Ir 0.5000 0.5000 0.0000
Rh1 Rh 0.0000 0.0000 0.5000
```

Properties
theoretical density	12.52	g/cm³
DOS(E_F)	5.6	states/eV/f.u.
crystal system	tetragonal
DFT total energy	-7.291	eV per atom
total magnetization	0.000	μB per formula unit

***

No. 5
Sr2Ge4Ir3Rh | PBE | optimized geometry

```
data_Sr2Ge4Ir3Rh
_chemical_formula_sum 'Sr2 Ge4 Ir3 Rh1'
_symmetry_space_group_name_H-M 'P -4 m 2'
_symmetry_Int_Tables_number 115
_cell_length_a 4.3422
_cell_length_b 4.3422
_cell_length_c 10.2224
_cell_angle_alpha 90.00
_cell_angle_beta 90.00
_cell_angle_gamma 90.00
loop_
_symmetry_equiv_pos_as_xyz
'x,y,z'
'y,-x,-z'
'-x,-y,z'
'-y,x,-z'
'-x,y,z'
'-y,-x,-z'
'x,-y,z'
'y,x,-z'
loop_
_atom_site_label
_atom_site_type_symbol
_atom_site_fract_x
_atom_site_fract_y
_atom_site_fract_z
Sr1 Sr 0.0000 0.5000 0.2487
Ge1 Ge 0.0000 0.0000 0.0000
Ge2 Ge 0.0000 0.5000 0.6255
Ge3 Ge 0.5000 0.5000 0.0000
Ir1 Ir 0.0000 0.5000 0.8744
Ir2 Ir 0.5000 0.5000 0.5000
Rh1 Rh 0.0000 0.0000 0.5000
```

Properties
theoretical density	9.87	g/cm³
DOS(E_F)	2.8	states/eV/f.u.
crystal system	tetragonal
DFT total energy	-6.222	eV per atom
total magnetization	0.000	μB per formula unit

***

No. 6
Sr2Ge2IrRh | PBE | optimized geometry

```
data_Sr2Ge2IrRh
_chemical_formula_sum 'Sr8 Ge8 Ir4 Rh4'
_symmetry_space_group_name_H-M 'I b a m'
_symmetry_Int_Tables_number 72
_symmetry_space_group_name_Hall '-I 2 2c'
_cell_length_a 5.9621
_cell_length_b 16.6142
_cell_length_c 5.9567
_cell_angle_alpha 90.00
_cell_angle_beta 90.00
_cell_angle_gamma 90.00
loop_
_atom_site_label
_atom_site_type_symbol
_atom_site_fract_x
_atom_site_fract_y
_atom_site_fract_z
Sr1 Sr 0.2489 0.1562 0.0000
Ge1 Ge 0.2488 0.4185 0.0000
Ir1 Ir 0.0000 0.5000 0.2500
Rh1 Rh 0.0000 0.0000 0.2500
```

Properties
theoretical density	6.93	g/cm³
DOS(E_F)	4.3	states/eV/f.u.
crystal system	orthorhombic
DFT total energy	-5.457	eV per atom
total magnetization	0.000	μB per formula unit

***

No. 7
Sr2Ge4IrRh3 | PBE | optimized geometry

```
data_Sr2Ge4IrRh3
_chemical_formula_sum 'Sr2 Ge4 Ir1 Rh3'
_symmetry_space_group_name_H-M 'P -4 m 2'
_symmetry_Int_Tables_number 115
_cell_length_a 4.3233
_cell_length_b 4.3233
_cell_length_c 10.2691
_cell_angle_alpha 90.00
_cell_angle_beta 90.00
_cell_angle_gamma 90.00
loop_
_symmetry_equiv_pos_as_xyz
'x,y,z'
'y,-x,-z'
'-x,-y,z'
'-y,x,-z'
'-x,y,z'
'-y,-x,-z'
'x,-y,z'
'y,x,-z'
loop_
_atom_site_label
_atom_site_type_symbol
_atom_site_fract_x
_atom_site_fract_y
_atom_site_fract_z
Sr1 Sr 0.0000 0.5000 0.2490
Ge1 Ge 0.0000 0.0000 0.0000
Ge2 Ge 0.0000 0.5000 0.6254
Ge3 Ge 0.5000 0.5000 0.0000
Ir1 Ir 0.0000 0.0000 0.5000
Rh1 Rh 0.0000 0.5000 0.8751
Rh2 Rh 0.5000 0.5000 0.5000
```

Properties
theoretical density	8.36	g/cm³
DOS(E_F)	3.3	states/eV/f.u.
crystal system	tetragonal
DFT total energy	-5.969	eV per atom
total magnetization	0.000	μB per formula unit

***

No. 8
Tb2Ge4IrRh3 | PBE | optimized geometry

```
data_Tb2Ge4IrRh3
_chemical_formula_sum 'Tb2 Ge4 Ir1 Rh3'
_symmetry_space_group_name_H-M 'P -4 m 2'
_symmetry_Int_Tables_number 115
_cell_length_a 4.2184
_cell_length_b 4.2184
_cell_length_c 10.0924
_cell_angle_alpha 90.00
_cell_angle_beta 90.00
_cell_angle_gamma 90.00
loop_
_symmetry_equiv_pos_as_xyz
'x,y,z'
'y,-x,-z'
'-x,-y,z'
'-y,x,-z'
'-x,y,z'
'-y,-x,-z'
'x,-y,z'
'y,x,-z'
loop_
_atom_site_label
_atom_site_type_symbol
_atom_site_fract_x
_atom_site_fract_y
_atom_site_fract_z
Tb1 Tb 0.0000 0.5000 0.2453
Ge1 Ge 0.0000 0.0000 0.0000
Ge2 Ge 0.0000 0.5000 0.6325
Ge3 Ge 0.5000 0.5000 0.0000
Ir1 Ir 0.0000 0.0000 0.5000
Rh1 Rh 0.0000 0.5000 0.8716
Rh2 Rh 0.5000 0.5000 0.5000
```

Properties
theoretical density	10.26	g/cm³
DOS(E_F)	4.9	states/eV/f.u.
crystal system	tetragonal
DFT total energy	-6.702	eV per atom
total magnetization	0.000	μB per formula unit